# 1
This record from the Alexandria database describes a geometry-optimized Tb3SnRu structure. The functional is PBE.

POSCAR file:
```
Tb3SnRu
1.0
7.026 0.000 0.000
0.000 7.649 -2.386
0.000 0.121 10.161
Tb Ru Sn
12 4 4
Direct
0.996 0.814 0.070
0.172 0.654 0.730
0.004 0.186 0.930
0.495 0.262 0.940
0.005 0.762 0.440
0.496 0.686 0.430
0.504 0.314 0.570
0.505 0.738 0.060
0.995 0.238 0.560
0.328 0.154 0.230
0.672 0.846 0.770
0.828 0.346 0.270
0.201 0.448 0.441
0.701 0.052 0.059
0.799 0.552 0.559
0.299 0.948 0.941
0.206 0.509 0.170
0.294 0.009 0.670
0.706 0.991 0.330
0.794 0.491 0.830
```

Properties
The energy above the most stable polymorph in this dataset is 0 kJ/mol of formula units. The crystal system is monoclinic.

---

# 2
This record from the Alexandria database describes a geometry-optimized Nd6GaIr structure. The functional is PBE.

POSCAR file:
```
Nd6GaIr
1.0
6.949 0.008 0.001
3.466 6.036 0.009
3.457 2.006 6.621
Nd Ir Ga
6 1 1
Direct
0.578 0.225 0.255
0.226 0.943 0.255
0.058 0.422 0.746
0.422 0.775 0.745
0.774 0.057 0.745
0.942 0.578 0.254
0.000 0.000 0.000
0.500 0.500 0.500
```

Properties
The crystal system is triclinic. Its raw total energy is -5.2313 eV/atom.

---

# 3
This record from the Alexandria database describes a geometry-optimized BiSbPd14 structure. The functional is PBE.

POSCAR file:
```
BiSbPd14
1.0
5.817 -0.013 0.000
0.012 5.817 0.000
0.000 0.000 7.673
Pd Sb Bi
14 1 1
Direct
0.875 0.875 0.000
0.628 0.628 0.247
0.375 0.875 0.000
0.122 0.628 0.753
0.375 0.375 0.000
0.122 0.122 0.753
0.628 0.628 0.753
0.875 0.375 0.500
0.375 0.875 0.500
0.122 0.122 0.247
0.628 0.122 0.753
0.628 0.122 0.247
0.122 0.628 0.247
0.875 0.375 0.000
0.875 0.875 0.500
0.375 0.375 0.500
```

Properties
The crystal system is tetragonal. The formation energy without anion corrections is -2.61 eV per formula unit.

---

# 4
This record from the Alexandria database describes a geometry-optimized Dy6Ho2Tm3In structure. The functional is PBE.

POSCAR file:
```
Dy6Ho2Tm3In
1.0
-4.324 -2.991 2.998
3.257 -2.833 -4.242
7.958 -1.132 8.308
Tm In Dy Ho
3 1 6 2
Direct
0.500 0.500 0.500
0.833 0.167 0.500
0.167 0.833 0.500
0.000 0.000 0.000
0.754 0.754 0.250
0.917 0.588 0.752
0.083 0.412 0.248
0.246 0.246 0.750
0.588 0.917 0.752
0.412 0.083 0.248
0.334 0.666 0.000
0.666 0.334 0.000
```

Properties
The crystal system is monoclinic. Its raw total energy is -4.4505 eV/atom.

---

# 5
This record from the Alexandria database describes a geometry-optimized K3NaTh2Te6 structure. The functional is PBE.

POSCAR file:
```
K3NaTh2Te6
1.0
-2.691 0.232 -3.768
-1.190 -9.788 0.246
-6.457 4.133 7.719
Te K Na Th
6 3 1 2
Direct
0.670 0.115 0.339
0.986 0.756 0.973
0.014 0.244 0.027
0.330 0.885 0.661
0.678 0.557 0.356
0.322 0.443 0.644
0.500 0.500 0.000
0.842 0.169 0.684
0.158 0.831 0.316
0.500 0.000 0.000
0.161 0.323 0.321
0.839 0.677 0.679
```

Properties
The crystal system is monoclinic. The formation energy without anion corrections is -14.37 eV per formula unit.

---

# 6
This record from the Alexandria database describes a geometry-optimized KBaPuF6 structure. The functional is PBE.

POSCAR file:
```
KBaPuF6
1.0
6.576 0.000 0.000
-3.288 5.695 0.000
0.000 0.000 10.448
F K Ba Pu
12 2 2 2
Direct
0.957 0.640 0.365
0.684 0.043 0.365
0.640 0.957 0.865
0.316 0.360 0.865
0.043 0.360 0.635
0.957 0.316 0.135
0.684 0.640 0.135
0.043 0.684 0.865
0.640 0.684 0.635
0.360 0.316 0.365
0.316 0.957 0.635
0.360 0.043 0.135
0.333 0.667 0.250
0.667 0.333 0.750
0.000 0.000 0.000
0.000 0.000 0.500
0.667 0.333 0.250
0.333 0.667 0.750
```

Properties
The crystal system is trigonal. The formation energy without anion corrections is -31.30 eV per formula unit.

---

| no. | mass density (Mg/m³) | M_tot (μB per atom) |
| --- | --- | --- |
| 1 | 8.44 | 0.00 |
| 2 | 6.75 | 0.00 |
| 3 | 11.65 | 0.00 |
| 4 | 8.86 | 0.00 |
| 5 | 4.90 | 0.00 |
| 6 | 4.54 | 0.56 |